TaIn2Si | PBE | optimized geometry

Cell: 4.846 4.846 4.846 Å, 60.00 60.00 60.00°
Positions (direct):
In 0.000 0.000 0.000
In 0.750 0.750 0.750
Si 0.500 0.500 0.500
Ta 0.250 0.250 0.250

magnetization: 0.00 μB/cell
electronic total energy: -20.1 eV per cell